Ga3NiC: relaxed, PBE.

a b c (Å): 4.5135 4.5135 4.5135
angles (deg): 90.00 90.00 90.00
Last column: nearest neighbours and their distance in Å.
Fractional coordinates of all 5 atoms:
Ga (0.0000, 0.0000, 0.5000)  2 Ni 2.26
Ga (0.0000, 0.5000, 0.0000)  2 Ni 2.26
Ga (0.5000, 0.0000, 0.0000)  2 Ni 2.26
Ni (0.0000, 0.0000, 0.0000)  6 Ga 2.26
C (0.5000, 0.5000, 0.5000)  12 Ga 3.19

Computed properties:
E above lowest polymorph = 273 meV per atom
E_form = 1063.7 meV/atom
Magnetization = 0.437 μB per atom
Space group = No. 221
Theoretical density = 5054 kg/m3
Crystal system = cubic